# 1
# Ho6BiSb2As3 (PBE, relaxed)
data_Ho6BiSb2As3
_chemical_formula_sum 'Ho12 Bi2 Sb4 As6'
_symmetry_space_group_name_H-M 'C 1 2/m 1'
_symmetry_Int_Tables_number 12
_cell_length_a 18.578
_cell_length_b 4.222
_cell_length_c 8.543
_cell_angle_alpha 90.00
_cell_angle_beta 104.14
_cell_angle_gamma 90.00
loop_
_symmetry_equiv_pos_as_xyz
'x,y,z'
'-x,-y,-z'
'-x,y,-z'
'x,-y,z'
'x+1/2,y+1/2,z'
'-x+1/2,-y+1/2,-z'
'-x+1/2,y+1/2,-z'
'x+1/2,-y+1/2,z'
loop_
_atom_site_label
_atom_site_type_symbol
_atom_site_fract_x
_atom_site_fract_y
_atom_site_fract_z
Ho1 Ho 0.004 0.000 0.235
Ho2 Ho 0.163 0.500 0.093
Ho3 Ho 0.172 0.500 0.574
Bi1 Bi 0.000 0.500 0.500
Sb1 Sb 0.166 0.000 0.833
As1 As 0.000 0.500 0.000
As2 As 0.166 0.000 0.333
# Fermi-level density of states = 1.86 states/eV/f.u.
# Calculated total energy = -137.2 eV per cell
# Magnetic moment = 0.0 μB per formula unit

***

# 2
# LuNi2Hg (PBE, relaxed)
data_LuNi2Hg
_chemical_formula_sum 'Lu1 Ni2 Hg1'
_symmetry_space_group_name_H-M 'P 4/m m m'
_symmetry_Int_Tables_number 123
_symmetry_space_group_name_Hall '-P 4 2'
_cell_length_a 4.322
_cell_length_b 4.322
_cell_length_c 3.552
_cell_angle_alpha 90.00
_cell_angle_beta 90.00
_cell_angle_gamma 90.00
loop_
_atom_site_label
_atom_site_type_symbol
_atom_site_fract_x
_atom_site_fract_y
_atom_site_fract_z
Lu1 Lu 0.000 0.000 0.000
Ni1 Ni 0.000 0.500 0.500
Hg1 Hg 0.500 0.500 0.000
# Fermi-level density of states = 2.50 states/eV/f.u.
# Calculated total energy = -17.2 eV per cell
# Magnetic moment = 0.0 μB per formula unit
# Energy of formation = -0.210 eV per atom
# Excess energy over the best structure of this formula in the dataset = 0.058 eV per atom

***

# 3
# Pm7CS5 (PBE, relaxed)
data_Pm7CS5
_chemical_formula_sum 'Pm28 C4 S20'
_symmetry_space_group_name_H-M 'C 1 m 1'
_symmetry_Int_Tables_number 8
_cell_length_a 13.280
_cell_length_b 3.872
_cell_length_c 24.074
_cell_angle_alpha 90.00
_cell_angle_beta 90.02
_cell_angle_gamma 90.00
loop_
_symmetry_equiv_pos_as_xyz
'x,y,z'
'x,-y,z'
'x+1/2,y+1/2,z'
'x+1/2,-y+1/2,z'
loop_
_atom_site_label
_atom_site_type_symbol
_atom_site_fract_x
_atom_site_fract_y
_atom_site_fract_z
Pm1 Pm 0.000 0.000 0.000
Pm2 Pm 0.001 0.000 0.139
Pm3 Pm 0.095 0.500 0.639
Pm4 Pm 0.096 0.500 0.500
Pm5 Pm 0.150 0.000 0.779
Pm6 Pm 0.167 0.000 0.355
Pm7 Pm 0.202 0.500 0.936
Pm8 Pm 0.227 0.500 0.214
Pm9 Pm 0.242 0.000 0.066
Pm10 Pm 0.353 0.000 0.566
Pm11 Pm 0.368 0.500 0.714
Pm12 Pm 0.394 0.500 0.436
Pm13 Pm 0.428 0.000 0.855
Pm14 Pm 0.445 0.000 0.279
C1 C 0.123 0.500 0.033
C2 C 0.473 0.500 0.533
S1 S 0.011 0.500 0.745
S2 S 0.027 0.500 0.391
S3 S 0.068 0.000 0.891
S4 S 0.084 0.000 0.246
S5 S 0.235 0.000 0.671
S6 S 0.248 0.000 0.465
S7 S 0.286 0.500 0.821
S8 S 0.310 0.500 0.322
S9 S 0.348 0.000 0.965
S10 S 0.360 0.000 0.171
# Fermi-level density of states = 7.64 states/eV/f.u.
# Calculated total energy = -330.8 eV per cell
# Magnetic moment = 0.0 μB per formula unit

***

# 4
# CsRb2BaI6 (PBE, relaxed)
data_CsRb2BaI6
_chemical_formula_sum 'Cs4 Rb8 Ba4 I24'
_symmetry_space_group_name_H-M 'F m -3 m'
_symmetry_Int_Tables_number 225
_symmetry_space_group_name_Hall '-F 4 2 3'
_cell_length_a 14.025
_cell_length_b 14.025
_cell_length_c 14.025
_cell_angle_alpha 90.00
_cell_angle_beta 90.00
_cell_angle_gamma 90.00
loop_
_atom_site_label
_atom_site_type_symbol
_atom_site_fract_x
_atom_site_fract_y
_atom_site_fract_z
Cs1 Cs 0.000 0.000 0.000
Rb1 Rb 0.250 0.250 0.250
Ba1 Ba 0.000 0.000 0.500
I1 I 0.000 0.000 0.259
# Fermi-level density of states = 12.03 states/eV/f.u.
# Calculated total energy = -104.3 eV per cell
# Magnetic moment = 1.0 μB per formula unit

***

# 5
# EuTl2Au (PBE, relaxed)
data_EuTl2Au
_chemical_formula_sum 'Eu3 Tl6 Au3'
_symmetry_space_group_name_H-M 'R -3 m'
_symmetry_Int_Tables_number 166
_symmetry_space_group_name_Hall '-R 3 2"'
_cell_length_a 3.8793
_cell_length_b 3.8793
_cell_length_c 31.1714
_cell_angle_alpha 90.00
_cell_angle_beta 90.00
_cell_angle_gamma 120.00
loop_
_atom_site_label
_atom_site_type_symbol
_atom_site_fract_x
_atom_site_fract_y
_atom_site_fract_z
Eu1 Eu 0.0000 0.0000 0.0000
Tl1 Tl 0.0000 0.0000 0.1058
Au1 Au 0.0000 0.0000 0.5000
# Fermi-level density of states = 2.44 states/eV/f.u.
# Calculated total energy = -54.5 eV per cell
# Magnetic moment = 7.5 μB per formula unit
# Energy of formation = 0.029 eV per atom

***

# 6
# NdHo5Tl3 (PBE, relaxed)
data_NdHo5Tl3
_chemical_formula_sum 'Nd2 Ho10 Tl6'
_symmetry_space_group_name_H-M 'P 63/m c m'
_symmetry_Int_Tables_number 193
_symmetry_space_group_name_Hall '-P 6c 2'
_cell_length_a 9.3854
_cell_length_b 9.3854
_cell_length_c 6.7225
_cell_angle_alpha 90.00
_cell_angle_beta 90.00
_cell_angle_gamma 120.00
loop_
_atom_site_label
_atom_site_type_symbol
_atom_site_fract_x
_atom_site_fract_y
_atom_site_fract_z
Nd1 Nd 0.0000 0.0000 0.0000
Ho1 Ho 0.0000 0.3301 0.2500
Ho2 Ho 0.3333 0.6667 0.0000
Tl1 Tl 0.0000 0.3403 0.7500
# Fermi-level density of states = 10.72 states/eV/f.u.
# Calculated total energy = -74.1 eV per cell
# Magnetic moment = 0.1 μB per formula unit
# Energy of formation = -0.256 eV per atom

***

# 7
# K3Zn5I12 (PBE, relaxed)
data_K3Zn5I12
_chemical_formula_sum 'K24 Zn40 I96'
_symmetry_space_group_name_H-M 'I a -3 d'
_symmetry_Int_Tables_number 230
_symmetry_space_group_name_Hall '-I 4bd 2c 3'
_cell_length_a 18.499
_cell_length_b 18.499
_cell_length_c 18.499
_cell_angle_alpha 90.00
_cell_angle_beta 90.00
_cell_angle_gamma 90.00
loop_
_atom_site_label
_atom_site_type_symbol
_atom_site_fract_x
_atom_site_fract_y
_atom_site_fract_z
K1 K 0.000 0.250 0.125
Zn1 Zn 0.000 0.000 0.000
Zn2 Zn 0.000 0.250 0.375
I1 I 0.035 0.050 0.648
# Fermi-level density of states = 3.71 states/eV/f.u.
# Calculated total energy = -345.3 eV per cell
# Magnetic moment = 0.0 μB per formula unit

***

# 8
# Y2TcRh (PBE, relaxed)
data_Y2TcRh
_chemical_formula_sum 'Y6 Tc3 Rh3'
_symmetry_space_group_name_H-M 'R 3 m'
_symmetry_Int_Tables_number 160
_symmetry_space_group_name_Hall 'R 3 -2"'
_cell_length_a 4.2895
_cell_length_b 4.2895
_cell_length_c 19.0525
_cell_angle_alpha 90.00
_cell_angle_beta 90.00
_cell_angle_gamma 120.00
loop_
_atom_site_label
_atom_site_type_symbol
_atom_site_fract_x
_atom_site_fract_y
_atom_site_fract_z
Y1 Y 0.0000 0.0000 0.0000
Y2 Y 0.0000 0.0000 0.1875
Tc1 Tc 0.0000 0.0000 0.4233
Rh1 Rh 0.0000 0.0000 0.7649
# Fermi-level density of states = 7.25 states/eV/f.u.
# Calculated total energy = -93.1 eV per cell
# Magnetic moment = 0.0 μB per formula unit
# Energy of formation = -0.095 eV per atom